Crystalline Mn2TcAsPd at its relaxed geometry, computed with GGA-PBE.

Unit cell a=4.532 b=4.532 c=4.619 alpha=90.00 beta=90.00 gamma=90.00
Fractional positions:
Mn  0.000  0.500  0.000
Mn  0.500  0.000  0.000
Tc  0.000  0.000  0.500
As  0.500  0.500  0.000
Pd  0.500  0.500  0.500

Summary:
Mass density   6.81 g/cm³
Crystal system   tetragonal
E   -34.0 eV/f.u.
Formation energy   443 kJ/mol of formula units